Version a
This record from Alexandria describes crystalline Pm3Dy5Tm4 at its relaxed geometry. The functional is PBE-GGA.

Cell: 8.501 8.501 9.219 Å, 114.43 114.43 40.44°
Positions (direct):
Pm 0.000 0.000 0.000
Pm 0.292 0.292 0.772
Pm 0.708 0.708 0.228
Dy 0.074 0.074 0.697
Dy 0.173 0.173 0.389
Dy 0.500 0.500 0.000
Dy 0.827 0.827 0.611
Dy 0.926 0.926 0.303
Tm 0.290 0.290 0.125
Tm 0.419 0.419 0.559
Tm 0.581 0.581 0.441
Tm 0.710 0.710 0.875

For the total magnetic moment, the calculation gives 0.2 μB/cell.

Version b
This record from Alexandria describes crystalline Pm3Dy5Tm4 at its relaxed geometry. The functional is PBE-GGA.

Cell: 6.147 7.100 8.687 Å, 90.04 90.05 90.14°
Positions (direct):
Pm 0.000 0.000 0.000
Pm 0.166 0.749 0.666
Pm 0.834 0.251 0.334
Dy 0.000 0.500 0.000
Dy 0.334 0.000 0.334
Dy 0.499 0.252 0.000
Dy 0.501 0.748 0.000
Dy 0.666 0.000 0.666
Tm 0.168 0.251 0.666
Tm 0.334 0.500 0.334
Tm 0.666 0.500 0.666
Tm 0.832 0.749 0.334

For the total magnetic moment, the calculation gives 0.0 μB/cell.

Verdict on stability: version a comes out at the bottom.